Crystalline InSi5Au3 at its relaxed geometry, computed with PBE.

Its mass density is 8.04 g/cm³. The value obtained for the raw total energy is -0.2873 Ry/atom.

It has space group P6/mmm (No. 191), with a = 5.6670 Å, b = 5.6670 Å, c = 6.2873 Å, α = 90.00°, β = 90.00° and γ = 120.00°. The inequivalent atoms are In at (0.0000, 0.0000, 0.0000), Si at (0.0000, 0.0000, 0.5000), Si at (0.3333, 0.6667, 0.1841) and Au at (0.0000, 0.5000, 0.5000).


Crystalline NbCuIr at its relaxed geometry, computed with PBE.

The value obtained for the energy relative to the elements is 7.20 kcal/mol of atoms. Its mass density is 10.84 g/cm³. As for the total magnetization: 0.0 μB per formula unit.

It has space group F-43m (No. 216), with a = 5.979 Å, b = 5.979 Å, c = 5.979 Å, α = 90.00°, β = 90.00° and γ = 90.00°. The inequivalent atoms are Nb at (0.000, 0.000, 0.000), Cu at (0.250, 0.250, 0.250) and Ir at (0.250, 0.250, 0.750).


Crystalline DyYZn2Ge2 at its relaxed geometry, computed with PBE.

Its mass density is 7.20 g/cm³. The value obtained for the raw total energy is -0.3295 Ry/atom. As for the total magnetization: 0.0 μB per formula unit.

It has space group P6_3/mmc (No. 194), with a = 4.2294 Å, b = 4.2294 Å, c = 15.7009 Å, α = 90.00°, β = 90.00° and γ = 120.00°. The inequivalent atoms are Dy at (0.0000, 0.0000, 0.2500), Y at (0.0000, 0.0000, 0.0000), Zn at (0.3333, 0.6667, 0.1463) and Ge at (0.3333, 0.6667, 0.6144).


Crystalline SmAsNO at its relaxed geometry, computed with PBE.

Its mass density is 7.20 g/cm³. The value obtained for the raw total energy is -0.4938 Ry/atom. As for the total magnetization: 0.0 μB per formula unit.

It has space group P4/nmm (No. 129, origin choice 2), with a = 4.969 Å, b = 4.969 Å, c = 4.772 Å, α = 90.00°, β = 90.00° and γ = 90.00°. The inequivalent atoms are Sm at (0.250, 0.750, 0.000), As at (0.250, 0.250, 0.477), N at (0.250, 0.250, 0.093) and O at (0.250, 0.750, 0.500).